(1)
Entry from Alexandria via LeMat-Bulk: an optimized crystal structure of YPt2F (PBE).

Cell: 3.683 3.683 10.849 Å, 80.23 80.23 90.00°
Fractional coordinates of all 8 atoms:
Pt  0.375  0.378  0.750
Y  0.000  0.000  0.000
Pt  0.875  0.872  0.750
Pt  0.128  0.625  0.250
F  0.250  0.750  0.500
Pt  0.622  0.125  0.250
Y  0.750  0.250  0.500
F  0.500  0.500  0.000

Results
Mass density, g/cm³: 11.58
Space group: I-42d

=====

(2)
Entry from Alexandria via LeMat-Bulk: an optimized crystal structure of YPt2F (PBE).

Cell: 4.648 4.648 4.648 Å, 60.00 60.00 60.00°
Fractional coordinates of all 4 atoms:
F  0.000  0.000  0.000
Pt  0.250  0.250  0.250
Pt  0.750  0.750  0.750
Y  0.500  0.500  0.500

Results
Mass density, g/cm³: 11.65
Space group: Fm-3m

=====

Most stable structure: (1)

=====

(1)
Entry from Alexandria via LeMat-Bulk: an optimized crystal structure of ZnPt2F (PBE).

Cell: 3.685 3.685 9.650 Å, 78.99 78.99 90.00°
Fractional coordinates of all 8 atoms:
Pt  0.375  0.375  0.750
F  0.500  0.500  0.000
Pt  0.125  0.625  0.250
Zn  0.000  0.000  0.000
F  0.250  0.750  0.500
Pt  0.625  0.125  0.250
Pt  0.875  0.875  0.750
Zn  0.750  0.250  0.500

Results
Mass density, g/cm³: 12.49
Space group: I-42d

=====

(2)
Entry from Alexandria via LeMat-Bulk: an optimized crystal structure of ZnPt2F (PBE).

Cell: 4.285 4.285 4.285 Å, 60.00 60.00 60.00°
Fractional coordinates of all 4 atoms:
Pt  0.250  0.250  0.250
F  0.000  0.000  0.000
Pt  0.750  0.750  0.750
Zn  0.500  0.500  0.500

Results
Mass density, g/cm³: 14.16
Space group: Fm-3m

=====

Most stable structure: (1)

=====

(1)
Entry from Alexandria via LeMat-Bulk: an optimized crystal structure of ZnPtF2 (PBE).

Cell: 5.641 5.641 5.427 Å, 58.69 58.69 90.00°
Fractional coordinates of all 8 atoms:
F  0.875  0.788  0.750
F  0.375  0.462  0.750
Zn  0.250  0.750  0.500
F  0.538  0.125  0.250
F  0.212  0.625  0.250
Pt  0.000  0.000  0.000
Pt  0.750  0.250  0.500
Zn  0.500  0.500  0.000

Results
Mass density, g/cm³: 8.47
Space group: I-42d

=====

(2)
Entry from Alexandria via LeMat-Bulk: an optimized crystal structure of ZnPtF2 (PBE).

Cell: 4.174 4.174 4.174 Å, 60.00 60.00 60.00°
Fractional coordinates of all 4 atoms:
F  0.250  0.250  0.250
Zn  0.000  0.000  0.000
Pt  0.500  0.500  0.500
F  0.750  0.750  0.750

Results
Mass density, g/cm³: 9.64
Space group: Fm-3m

=====

Most stable structure: (1)

=====

(1)
Entry from Alexandria via LeMat-Bulk: an optimized crystal structure of Zn3PtF (PBE).

Cell: 4.189 4.189 4.189 Å, 90.00 90.00 90.00°
Fractional coordinates of all 5 atoms:
Zn  0.500  0.000  0.000
Zn  0.000  0.000  0.500
Zn  0.000  0.500  0.000
Pt  0.500  0.500  0.500
F  0.000  0.000  0.000

Results
Mass density, g/cm³: 9.27
Space group: Pm-3m

=====

(2)
Entry from Alexandria via LeMat-Bulk: an optimized crystal structure of Zn3PtF (PBE).

Cell: 4.836 4.836 4.836 Å, 90.00 90.00 90.00°
Fractional coordinates of all 5 atoms:
Zn  0.000  0.500  0.000
Pt  0.000  0.000  0.000
Zn  0.000  0.000  0.500
F  0.500  0.500  0.500
Zn  0.500  0.000  0.000

Results
Mass density, g/cm³: 6.02
Space group: Pm-3m

=====

Most stable structure: (1)

=====

(1)
Entry from Alexandria via LeMat-Bulk: an optimized crystal structure of ZnPt3F (PBE).

Cell: 4.665 4.665 4.665 Å, 90.00 90.00 90.00°
Fractional coordinates of all 5 atoms:
Pt  0.000  0.500  0.000
Pt  0.500  0.000  0.000
Pt  0.000  0.000  0.500
Zn  0.000  0.000  0.000
F  0.500  0.500  0.500

Results
Mass density, g/cm³: 10.95
Space group: Pm-3m

=====

(2)
Entry from Alexandria via LeMat-Bulk: an optimized crystal structure of ZnPt3F (PBE).

Cell: 4.369 4.369 4.369 Å, 90.00 90.00 90.00°
Fractional coordinates of all 5 atoms:
Zn  0.500  0.500  0.500
F  0.000  0.000  0.000
Pt  0.500  0.000  0.000
Pt  0.000  0.500  0.000
Pt  0.000  0.000  0.500

Results
Mass density, g/cm³: 13.33
Space group: Pm-3m

=====

Most stable structure: (2)

=====

(1)
Entry from Alexandria via LeMat-Bulk: an optimized crystal structure of ZrPtF (PBE).

Cell: 5.828 3.477 11.695 Å, 90.00 119.61 90.00°
Fractional coordinates of all 12 atoms:
F  0.099  0.000  0.648
F  0.099  0.500  0.148
Zr  0.402  0.000  0.176
Zr  0.044  0.500  0.323
Pt  0.404  0.000  0.477
F  0.816  0.000  0.195
Zr  0.402  0.500  0.676
Pt  0.652  0.000  0.876
F  0.816  0.500  0.695
Pt  0.652  0.500  0.376
Zr  0.044  0.000  0.823
Pt  0.404  0.500  0.977

Results
Mass density, g/cm³: 9.84
Space group: Cm

=====

(2)
Entry from Alexandria via LeMat-Bulk: an optimized crystal structure of ZrPtF (PBE).

Cell: 3.488 3.488 7.436 Å, 90.00 90.00 90.00°
Fractional coordinates of all 6 atoms:
F  0.500  0.500  0.000
Zr  0.500  0.000  0.783
Zr  0.000  0.500  0.217
Pt  0.000  0.500  0.608
F  0.000  0.000  0.000
Pt  0.500  0.000  0.392

Results
Mass density, g/cm³: 11.21
Space group: P4/nmm

=====

Most stable structure: (2)

=====

(1)
Entry from Alexandria via LeMat-Bulk: an optimized crystal structure of ZrPtF (PBE).

Cell: 3.460 3.460 15.143 Å, 90.00 90.00 90.00°
Fractional coordinates of all 12 atoms:
Zr  0.000  0.000  0.890
Zr  0.000  0.000  0.110
Zr  0.500  0.500  0.610
Pt  0.500  0.500  0.197
Zr  0.500  0.500  0.390
Pt  0.000  0.000  0.697
F  0.000  0.500  0.000
F  0.500  0.000  0.500
Pt  0.500  0.500  0.803
F  0.000  0.500  0.500
F  0.500  0.000  0.000
Pt  0.000  0.000  0.303

Results
Mass density, g/cm³: 11.18
Space group: I4/mmm

=====

(2)
Entry from Alexandria via LeMat-Bulk: an optimized crystal structure of ZrPtF (PBE).

Cell: 3.267 3.327 6.144 Å, 89.61 89.00 90.00°
Fractional coordinates of all 3 atoms:
F  0.051  0.462  0.601
Zr  0.558  0.465  0.367
Pt  0.066  0.968  0.142

Results
Mass density, g/cm³: 7.59
Space group: P1

=====

Most stable structure: (1)

=====

(1)
Entry from Alexandria via LeMat-Bulk: an optimized crystal structure of ZrPtF (PBE).

Cell: 4.582 3.207 13.541 Å, 90.00 100.32 90.00°
Fractional coordinates of all 12 atoms:
Pt  0.281  0.500  0.058
Pt  0.719  0.500  0.942
F  0.209  0.500  0.768
Zr  0.177  0.500  0.383
F  0.209  0.000  0.268
Zr  0.177  0.000  0.883
Zr  0.823  0.000  0.117
F  0.791  0.000  0.732
Zr  0.823  0.500  0.617
F  0.791  0.500  0.232
Pt  0.719  0.000  0.442
Pt  0.281  0.000  0.558

Results
Mass density, g/cm³: 10.36
Space group: C2/m

=====

(2)
Entry from Alexandria via LeMat-Bulk: an optimized crystal structure of ZrPtF (PBE).

Cell: 3.075 3.075 12.300 Å, 90.00 90.00 120.00°
Fractional coordinates of all 6 atoms:
Zr  0.000  0.000  0.163
F  0.667  0.333  0.046
F  0.000  0.000  0.816
Pt  0.000  0.000  0.524
Zr  0.333  0.667  0.700
Pt  0.667  0.333  0.336

Results
Mass density, g/cm³: 10.06
Space group: P3m1

=====

(3)
Entry from Alexandria via LeMat-Bulk: an optimized crystal structure of ZrPtF (PBE).

Cell: 7.619 3.463 9.165 Å, 90.00 120.27 90.00°
Fractional coordinates of all 12 atoms:
Pt  0.424  0.000  0.111
F  0.053  0.000  0.681
Zr  0.262  0.500  0.831
Zr  0.262  0.000  0.331
Zr  0.738  0.500  0.169
F  0.947  0.000  0.319
Pt  0.576  0.000  0.889
Zr  0.738  0.000  0.669
Pt  0.576  0.500  0.389
F  0.947  0.500  0.819
Pt  0.424  0.500  0.611
F  0.053  0.500  0.181

Results
Mass density, g/cm³: 9.71
Space group: C2/m

=====

Most stable structure: (3)

=====

(1)
Entry from Alexandria via LeMat-Bulk: an optimized crystal structure of PuF4 (PBE).

Cell: 8.315 8.315 8.320 Å, 63.18 63.18 80.52°
Fractional coordinates of all 30 atoms:
F  0.188  0.597  0.574
Pu  0.223  0.367  0.831
F  0.742  0.681  0.894
F  0.064  0.178  0.545
Pu  0.214  0.786  0.250
F  0.728  0.028  0.646
Pu  0.367  0.223  0.331
F  0.402  0.598  0.750
Pu  0.633  0.777  0.669
F  0.272  0.972  0.354
F  0.745  0.497  0.713
F  0.812  0.403  0.426
F  0.598  0.402  0.250
F  0.503  0.255  0.787
F  0.178  0.064  0.045
Pu  0.786  0.214  0.750
F  0.500  0.000  0.500
F  0.822  0.936  0.955
F  0.000  0.500  0.000
F  0.258  0.319  0.106
F  0.319  0.258  0.606
F  0.403  0.812  0.926
F  0.028  0.728  0.146
F  0.681  0.742  0.394
F  0.255  0.503  0.287
F  0.597  0.188  0.074
Pu  0.777  0.633  0.169
F  0.497  0.745  0.213
F  0.936  0.822  0.455
F  0.972  0.272  0.854

Results
Mass density, g/cm³: 6.97
Space group: C2/c

=====

(2)
Entry from Alexandria via LeMat-Bulk: an optimized crystal structure of PuF4 (PBE).

Cell: 4.393 4.393 4.393 Å, 90.00 90.00 90.00°
Fractional coordinates of all 5 atoms:
F  0.000  0.000  0.000
F  0.500  0.000  0.500
F  0.500  0.500  0.000
Pu  0.500  0.500  0.500
F  0.000  0.500  0.500

Results
Mass density, g/cm³: 6.27
Space group: Pm-3m

=====

Most stable structure: (1)

=====

(1)
Entry from Alexandria via LeMat-Bulk: an optimized crystal structure of PuF4 (PBE).

Cell: 5.402 5.410 5.966 Å, 116.96 90.00 90.00°
Fractional coordinates of all 10 atoms:
F  0.202  0.409  0.221
F  0.798  0.812  0.221
Pu  0.000  0.000  0.000
F  0.798  0.188  0.779
F  0.702  0.688  0.779
F  0.202  0.591  0.779
F  0.298  0.091  0.779
F  0.298  0.909  0.221
Pu  0.500  0.500  0.000
F  0.702  0.312  0.221

Results
Mass density, g/cm³: 6.84
Space group: Ccce

=====

(2)
Entry from Alexandria via LeMat-Bulk: an optimized crystal structure of PuF4 (PBE).

Cell: 5.374 4.469 8.819 Å, 97.07 72.26 53.03°
Fractional coordinates of all 10 atoms:
F  0.773  0.905  0.486
F  0.164  0.595  0.014
F  0.240  0.175  0.216
Pu  0.722  0.750  0.250
F  0.836  0.405  0.986
F  0.631  0.325  0.284
F  0.760  0.825  0.784
F  0.227  0.095  0.514
Pu  0.278  0.250  0.750
F  0.369  0.675  0.716

Results
Mass density, g/cm³: 7.20
Space group: C2/c

=====

Most stable structure: (2)

=====

(1)
Entry from Alexandria via LeMat-Bulk: an optimized crystal structure of RbPuF4 (PBE).

Cell: 6.198 7.035 7.253 Å, 114.80 110.67 98.82°
Fractional coordinates of all 12 atoms:
F  0.606  0.056  0.298
F  0.589  0.298  0.100
Pu  0.783  0.033  0.065
Pu  0.217  0.967  0.935
Rb  0.394  0.644  0.289
F  0.411  0.702  0.900
F  0.989  0.199  0.900
F  0.394  0.944  0.702
F  0.011  0.801  0.100
F  0.807  0.758  0.702
Rb  0.606  0.356  0.711
F  0.193  0.242  0.298

Results
Mass density, g/cm³: 5.36
Space group: C2/c

=====

(2)
Entry from Alexandria via LeMat-Bulk: an optimized crystal structure of RbPuF4 (PBE).

Cell: 3.821 6.482 16.224 Å, 90.00 90.00 90.00°
Fractional coordinates of all 24 atoms:
F  0.250  0.601  0.687
F  0.250  0.101  0.813
F  0.750  0.899  0.187
Pu  0.250  0.752  0.559
Pu  0.750  0.248  0.441
F  0.250  0.630  0.960
Rb  0.250  0.224  0.198
F  0.750  0.006  0.946
F  0.250  0.610  0.128
Pu  0.750  0.748  0.059
Pu  0.250  0.252  0.941
F  0.750  0.390  0.872
F  0.750  0.399  0.313
F  0.250  0.130  0.540
F  0.750  0.506  0.554
F  0.750  0.370  0.040
F  0.750  0.890  0.628
F  0.250  0.110  0.372
F  0.750  0.870  0.460
Rb  0.750  0.776  0.802
Rb  0.250  0.724  0.302
F  0.250  0.994  0.054
F  0.250  0.494  0.446
Rb  0.750  0.276  0.698

Results
Mass density, g/cm³: 6.70
Space group: Pnma

=====

Most stable structure: (2)